Below is a relaxed structure of VPdF3, with properties calculated at the GGA+U level.

Cell lengths 4.0995, 4.0995, 4.0995 Å; angles 90.00, 90.00, 90.00 degrees
Sites, in units of the cell vectors:
V (0.0000, 0.0000, 0.0000)
Pd (0.5000, 0.5000, 0.5000)
F (0.0000, 0.0000, 0.5000)
F (0.0000, 0.5000, 0.0000)
F (0.5000, 0.0000, 0.0000)

Computed properties:
space group: Pm-3m
total energy: -5.291 eV/atom
magnetization: 0.63 μB/atom